1.
Entry from Alexandria via LeMat-Bulk: crystalline TmAlZn2Au5 at its relaxed geometry (PBE).

Its formation energy from the elements is -2.0 eV/f.u. Its magnetization is 0.0 Bohr magnetons per cell. As for the density of states at the Fermi level: 7.79 states/eV per cell. For the theoretical density, the calculation gives 11.60 Mg/m³.

Unit cell a=4.774 b=5.668 c=13.872 alpha=90.00 beta=90.00 gamma=90.00
Space group Immm (No. 71)
One atom of each set of equivalent atoms:
Tm 0.000 0.000 0.000 x2
Al 0.000 0.000 0.500 x2
Zn 0.000 0.500 0.187 x4
Au 0.000 0.259 0.349 x8
Au 0.000 0.500 0.000 x2



2.
Entry from Alexandria via LeMat-Bulk: crystalline TmAlZnAu at its relaxed geometry (PBE).

Its formation energy from the elements is -2.1 eV/f.u. Its magnetization is 0.0 Bohr magnetons per cell. As for the density of states at the Fermi level: 8.60 states/eV per cell. For the theoretical density, the calculation gives 10.18 Mg/m³.

Unit cell a=6.688 b=6.688 c=6.688 alpha=90.00 beta=90.00 gamma=90.00
Space group F-43m (No. 216)
One atom of each set of equivalent atoms:
Tm 0.000 0.000 0.000 x4
Al 0.000 0.000 0.500 x4
Zn 0.250 0.250 0.250 x4
Au 0.250 0.250 0.750 x4



Q: The highest formation energy from the elements belongs to which entry?
A: TmAlZn2Au5